Entry 1:
The following is a DFT calculation (PBE) of an optimized crystal structure of MoAsWBr2.

POSCAR file:
```
MoAsWBr2
1.0
5.203 0.000 0.000
0.000 5.203 0.000
0.000 0.000 4.908
Mo As W Br
1 1 1 2
direct
0.000 0.000 0.000
0.500 0.500 0.000
0.500 0.500 0.500
0.000 0.500 0.500
0.500 0.000 0.500
```

relative energy among the computed polymorphs	0.0	kJ/mol of atoms
space-group type	P4/mmm (123)
E_tot	-5.1550	eV/atom
density of states at the Fermi level	3.2	states/eV/f.u.

Entry 2:
The following is a DFT calculation (PBE) of an optimized crystal structure of ZrBi2SbC.

POSCAR file:
```
ZrBi2SbC
1.0
5.218 0.000 0.000
0.000 5.218 0.000
0.000 0.000 4.502
Zr Bi Sb C
1 2 1 1
direct
0.000 0.000 0.000
0.000 0.500 0.500
0.500 0.000 0.500
0.500 0.500 0.000
0.000 0.000 0.500
```

space-group type	P4/mmm (123)
E_tot	-5.4188	eV/atom
density of states at the Fermi level	4.2	states/eV/f.u.

Entry 3:
The following is a DFT calculation (PBE) of an optimized crystal structure of Np2TcSn.

POSCAR file:
```
Np2TcSn
1.0
4.302 0.000 0.000
0.000 4.302 0.000
0.000 0.000 4.470
Np Tc Sn
2 1 1
direct
0.000 0.500 0.000
0.500 0.000 0.000
0.000 0.000 0.500
0.500 0.500 0.500
```

relative energy among the computed polymorphs	0.0	kJ/mol of atoms
formation enthalpy at 0 K	0.48	eV/f.u.
space-group type	P4/mmm (123)
E_tot	-9.9423	eV/atom
density of states at the Fermi level	8.9	states/eV/f.u.

Entry 4:
The following is a DFT calculation (PBE) of an optimized crystal structure of YCrOs.

POSCAR file:
```
YCrOs
1.0
6.339 0.000 0.000
0.000 6.339 0.000
0.000 0.000 6.339
Y Cr Os
4 4 4
direct
0.000 0.000 0.000
0.000 0.500 0.500
0.500 0.000 0.500
0.500 0.500 0.000
0.000 0.000 0.500
0.000 0.500 0.000
0.500 0.000 0.000
0.500 0.500 0.500
0.250 0.250 0.750
0.250 0.750 0.250
0.750 0.250 0.250
0.750 0.750 0.750
```

relative energy among the computed polymorphs	41.2	kJ/mol of atoms
formation enthalpy at 0 K	1.56	eV/f.u.
space-group type	F-43m (216)
E_tot	-8.5852	eV/atom
density of states at the Fermi level	2.3	states/eV/f.u.

Entry 5:
The following is a DFT calculation (PBE) of an optimized crystal structure of AgPt3O.

POSCAR file:
```
AgPt3O
1.0
4.273 0.000 0.000
0.000 4.273 0.000
0.000 0.000 4.273
Ag Pt O
1 3 1
direct
0.000 0.000 0.000
0.000 0.500 0.500
0.500 0.000 0.500
0.500 0.500 0.000
0.500 0.500 0.500
```

relative energy among the computed polymorphs	0.0	kJ/mol of atoms
space-group type	Pm-3m (221)
E_tot	-4.7172	eV/atom
density of states at the Fermi level	4.7	states/eV/f.u.

Entry 6:
The following is a DFT calculation (PBE) of an optimized crystal structure of DyCo2C.

POSCAR file:
```
DyCo2C
1.0
3.251 0.000 0.000
0.000 9.675 0.000
0.000 0.000 6.446
Dy Co C
4 8 4
direct
0.000 0.051 0.250
0.000 0.949 0.750
0.500 0.449 0.750
0.500 0.551 0.250
0.000 0.324 0.073
0.000 0.324 0.427
0.000 0.676 0.573
0.000 0.676 0.927
0.500 0.176 0.573
0.500 0.176 0.927
0.500 0.824 0.073
0.500 0.824 0.427
0.000 0.222 0.750
0.000 0.778 0.250
0.500 0.278 0.250
0.500 0.722 0.750
```

relative energy among the computed polymorphs	0.0	kJ/mol of atoms
formation enthalpy at 0 K	0.12	eV/f.u.
space-group type	Cmcm (63)
E_tot	-6.9792	eV/atom
density of states at the Fermi level	4.4	states/eV/f.u.

Entry 7:
The following is a DFT calculation (PBE) of an optimized crystal structure of YMgTl4.

POSCAR file:
```
YMgTl4
1.0
0.000 4.447 4.447
4.447 0.000 4.447
4.447 4.447 0.000
Y Mg Tl
1 1 4
direct
0.000 0.000 0.000
0.750 0.750 0.750
0.375 0.375 0.375
0.375 0.375 0.875
0.375 0.875 0.375
0.875 0.375 0.375
```

formation enthalpy at 0 K	0.76	eV/f.u.
space-group type	F-43m (216)
E_tot	-2.7944	eV/atom
density of states at the Fermi level	7.2	states/eV/f.u.

Entry 8:
The following is a DFT calculation (PBE) of an optimized crystal structure of Nd3SmPb5.

POSCAR file:
```
Nd3SmPb5
1.0
9.769 0.000 0.000
-4.884 8.460 0.000
0.000 0.000 6.645
Nd Sm Pb
6 2 10
direct
0.000 0.380 0.250
0.000 0.620 0.750
0.380 0.000 0.250
0.380 0.380 0.750
0.620 0.000 0.750
0.620 0.620 0.250
0.000 0.000 0.000
0.000 0.000 0.500
0.000 0.288 0.750
0.000 0.712 0.250
0.288 0.000 0.750
0.288 0.288 0.250
0.333 0.667 0.000
0.333 0.667 0.500
0.667 0.333 0.000
0.667 0.333 0.500
0.712 0.000 0.250
0.712 0.712 0.750
```

formation enthalpy at 0 K	-4.27	eV/f.u.
space-group type	P6_3/mcm (193)
E_tot	-4.6480	eV/atom
density of states at the Fermi level	8.8	states/eV/f.u.